Record 1
Compound: YEr2In2Ag2
Source: Alexandria via LeMat-Bulk
Functional: PBE
Structure: relaxed Values from VASP.

- ΔH_f (0 K) (eV/atom) = -0.276
- electronic total energy (eV/atom) = -4.100
- D(E_F) (states/eV per cell) = 4.81

```
&SYSTEM
  ibrav = 0, nat = 7, ntyp = 4
/
ATOMIC_SPECIES
Y 88.91 Y.upf
Er 167.26 Er.upf
In 114.82 In.upf
Ag 107.87 Ag.upf
CELL_PARAMETERS angstrom
2.415 1.394 8.857
-2.415 1.394 8.857
0.000 -2.789 8.857
ATOMIC_POSITIONS angstrom
Y 0.000 0.000 0.000
Er 0.000 0.000 3.368
Er 0.000 0.000 23.204
In 0.000 0.000 6.876
In 0.000 0.000 19.695
Ag 0.000 0.000 10.610
Ag 0.000 0.000 15.962
```

Record 2
Compound: RhSeS3
Source: Alexandria via LeMat-Bulk
Functional: PBE
Structure: relaxed Values from VASP.

- electronic total energy (eV/atom) = -4.037
- raw formation energy (eV/atom) = 0.61
- D(E_F) (states/eV per cell) = 7.28

```
&SYSTEM
  ibrav = 0, nat = 5, ntyp = 3
/
ATOMIC_SPECIES
Rh 102.91 Rh.upf
Se 78.96 Se.upf
S 32.06 S.upf
CELL_PARAMETERS angstrom
4.615 0.000 0.000
0.000 4.615 0.000
0.000 0.000 4.615
ATOMIC_POSITIONS angstrom
Rh 0.000 0.000 0.000
Se 2.308 2.308 2.308
S 0.000 0.000 2.308
S 0.000 2.308 0.000
S 2.308 0.000 0.000
```

Record 3
Compound: LiLaPm2
Source: Alexandria via LeMat-Bulk
Functional: PBE
Structure: relaxed Values from VASP.

- ΔH_f (0 K) (eV/atom) = 0.069
- electronic total energy (eV/atom) = -4.016
- D(E_F) (states/eV per cell) = 6.96

```
&SYSTEM
  ibrav = 0, nat = 4, ntyp = 3
/
ATOMIC_SPECIES
Li 6.94 Li.upf
La 138.91 La.upf
Pm 145.00 Pm.upf
CELL_PARAMETERS angstrom
3.752 0.000 0.000
0.000 3.752 0.000
0.000 0.000 8.914
ATOMIC_POSITIONS angstrom
Li 0.000 0.000 0.000
La 0.000 0.000 4.457
Pm 1.876 1.876 1.946
Pm 1.876 1.876 6.968
```

Record 4
Compound: Tb3PmSc4
Source: Alexandria via LeMat-Bulk
Functional: PBE
Structure: relaxed Values from VASP.

- ΔH_f (0 K) (eV/atom) = 0.041
- electronic total energy (eV/atom) = -5.455
- D(E_F) (states/eV per cell) = 31.00

```
&SYSTEM
  ibrav = 0, nat = 16, ntyp = 3
/
ATOMIC_SPECIES
Tb 158.93 Tb.upf
Pm 145.00 Pm.upf
Sc 44.96 Sc.upf
CELL_PARAMETERS angstrom
10.862 0.000 0.000
0.000 7.002 0.000
0.000 0.000 6.017
ATOMIC_POSITIONS angstrom
Tb 0.000 0.948 0.000
Tb 2.713 0.951 2.085
Tb 2.718 6.051 5.093
Tb 5.431 6.054 3.009
Tb 8.149 0.951 2.085
Tb 8.144 6.051 5.093
Pm 0.000 6.059 3.014
Pm 5.431 0.943 0.005
Sc 0.000 2.700 3.071
Sc 0.000 4.298 0.060
Sc 2.701 2.697 5.038
Sc 2.729 4.305 2.029
Sc 5.431 2.703 3.069
Sc 5.431 4.302 0.063
Sc 8.132 4.305 2.029
Sc 8.160 2.697 5.038
```

Record 5
Compound: Nd2NpAgTe5
Source: Alexandria via LeMat-Bulk
Functional: PBE
Structure: relaxed Values from VASP.

- electronic total energy (eV/atom) = -5.521
- raw formation energy (eV/atom) = -0.96
- D(E_F) (states/eV per cell) = 16.90

```
&SYSTEM
  ibrav = 0, nat = 18, ntyp = 4
/
ATOMIC_SPECIES
Nd 144.24 Nd.upf
Np 237.00 Np.upf
Ag 107.87 Ag.upf
Te 127.60 Te.upf
CELL_PARAMETERS angstrom
2.203 -9.448 0.000
2.203 9.448 0.000
0.000 0.000 13.397
ATOMIC_POSITIONS angstrom
Nd 2.203 7.332 6.699
Nd 2.203 7.068 1.599
Nd 2.203 -7.068 8.298
Nd 2.203 -7.332 0.000
Np 2.203 5.766 11.018
Np 2.203 -5.766 4.319
Ag 2.203 1.248 3.667
Ag 2.203 -1.248 10.366
Te 2.203 8.631 11.947
Te 2.203 4.001 6.475
Te 2.203 3.658 2.063
Te 2.203 2.626 10.903
Te 2.203 0.027 7.926
Te 2.203 -0.027 1.228
Te 2.203 -2.626 4.205
Te 2.203 -3.658 8.761
Te 2.203 -4.001 13.174
Te 2.203 -8.631 5.248
```

Record 6
Compound: Y2ScW
Source: Alexandria via LeMat-Bulk
Functional: PBE
Structure: relaxed Values from VASP.

- ΔH_f (0 K) (eV/atom) = 0.541
- electronic total energy (eV/atom) = -7.512
- D(E_F) (states/eV per cell) = 16.75

```
&SYSTEM
  ibrav = 0, nat = 12, ntyp = 3
/
ATOMIC_SPECIES
Y 88.91 Y.upf
Sc 44.96 Sc.upf
W 183.84 W.upf
CELL_PARAMETERS angstrom
3.263 0.000 0.000
-1.632 2.826 0.000
0.000 0.000 32.187
ATOMIC_POSITIONS angstrom
Y 0.000 0.000 7.794
Y 0.000 0.000 24.393
Y 0.000 1.884 13.664
Y 0.000 1.884 29.252
Y 1.632 0.942 2.935
Y 1.632 0.942 18.523
Sc 0.000 0.000 0.000
Sc 0.000 1.884 21.458
Sc 1.632 0.942 10.729
W 0.000 0.000 16.094
W 0.000 1.884 5.365
W 1.632 0.942 26.823
```

Record 7
Compound: Ba3Y2PaP6
Source: Alexandria via LeMat-Bulk
Functional: PBE
Structure: relaxed Values from VASP.

- ΔH_f (0 K) (eV/atom) = -1.200
- electronic total energy (eV/atom) = -6.255
- D(E_F) (states/eV per cell) = 11.44

```
&SYSTEM
  ibrav = 0, nat = 12, ntyp = 4
/
ATOMIC_SPECIES
Ba 137.33 Ba.upf
Y 88.91 Y.upf
Pa 231.04 Pa.upf
P 30.97 P.upf
CELL_PARAMETERS angstrom
3.666 -6.351 0.000
3.666 6.351 0.000
-2.446 0.000 7.282
ATOMIC_POSITIONS angstrom
Ba 0.000 0.000 0.000
Ba 3.666 2.155 0.000
Ba 3.666 -2.155 0.000
Y 2.443 4.240 3.641
Y 2.443 -4.240 3.641
Pa 2.443 0.000 3.641
P 1.259 2.053 2.164
P 0.077 0.000 5.133
P 1.259 -2.053 2.164
P 3.627 2.053 5.118
P 4.809 0.000 2.149
P 3.627 -2.053 5.118
```